The following is a GGA-PBE calculation of crystalline As3Pt5 at its relaxed geometry, from Alexandria via LeMat-Bulk.

N(E_F), states/eV/cell: 7.68
E_form, eV per atom: -0.218
Symmetry: Cm (8)

POSCAR file:
```
As3Pt5
1.0
0.194 -7.002 1.026
4.784 2.551 -4.500
1.519 3.027 6.453
As Pt
6 10
direct
0.253 0.151 0.975 As
0.556 0.836 0.500 As
0.162 0.120 0.500 As
0.778 0.676 0.025 As
0.800 0.233 0.176 As
0.124 0.557 0.824 As
0.692 0.255 0.500 Pt
0.529 0.239 0.812 Pt
0.217 0.927 0.188 Pt
0.180 0.758 0.500 Pt
0.908 0.176 0.837 Pt
0.438 0.599 0.720 Pt
0.894 0.737 0.720 Pt
0.675 0.517 0.280 Pt
0.570 0.839 0.163 Pt
0.218 0.379 0.280 Pt
```